VASP calculation (PBE) on a geometry-optimized Zr2ScPb structure.

Cell: 5.402 3.200 5.532 Å, 85.13 90.00 90.00°
Positions (direct):
1 Pb 0.500 0.250 0.250
2 Sc 0.500 0.750 0.750
3 Zr 0.000 0.040 0.996
4 Zr 0.000 0.460 0.504

## Properties
The value obtained for the electronic total energy is -6.863 eV per atom. Its space-group type is P2/m, No. 10.